Entry 1:
Compound: PaCrCN
Source: Alexandria
Functional: PBE
Structure: relaxed

```
PaCrCN
1.0
3.843 0.000 0.000
0.000 3.843 0.000
0.000 0.000 7.193
Pa Cr C N
2 2 2 2
direct
0.500 0.000 0.670
0.000 0.500 0.330
0.500 0.500 0.000
0.000 0.000 0.000
0.000 0.500 0.928
0.500 0.000 0.072
0.000 0.000 0.500
0.500 0.500 0.500
```

Summary:
SG: P4/nmm

---

Entry 2:
Compound: Sb4OsBr
Source: Alexandria
Functional: PBE
Structure: relaxed

```
Sb4OsBr
1.0
0.000 4.345 4.345
4.345 0.000 4.345
4.345 4.345 0.000
Sb Os Br
4 1 1
direct
0.870 0.377 0.377
0.377 0.377 0.870
0.377 0.870 0.377
0.377 0.377 0.377
0.000 0.000 0.000
0.750 0.750 0.750
```

Summary:
SG: F-43m

---

Entry 3:
Compound: Ni2AgSb
Source: Alexandria
Functional: PBE
Structure: relaxed

```
Ni2AgSb
1.0
-1.686 -3.528 -1.162
0.123 -1.079 3.096
-4.246 1.249 2.368
Ag Ni Sb
1 2 1
direct
0.500 0.772 0.835
0.000 0.203 0.970
0.500 0.046 0.282
0.000 0.479 0.412
```

Summary:
SG: Pm

---

Entry 4:
Compound: Mn2TcSe
Source: Alexandria
Functional: PBE
Structure: relaxed

```
Mn2TcSe
1.0
4.558 -0.001 0.000
1.309 4.367 0.000
-2.934 -2.183 2.722
Mn Se Tc
2 1 1
direct
0.000 0.000 0.000
0.250 0.750 0.500
0.500 0.500 0.000
0.750 0.250 0.500
```

Summary:
SG: I-4m2

---

Entry 5:
Compound: Pm2InCl8
Source: Alexandria
Functional: PBE
Structure: relaxed

```
Pm2InCl8
1.0
6.919 0.121 0.955
1.010 6.684 2.307
0.476 -0.640 7.098
Pm In Cl
2 1 8
direct
0.446 0.319 0.319
0.554 0.681 0.681
0.000 0.000 0.000
0.305 0.664 0.049
0.695 0.951 0.336
0.185 0.179 0.179
0.815 0.821 0.821
0.305 0.049 0.664
0.695 0.336 0.951
0.749 0.436 0.436
0.251 0.564 0.564
```

Summary:
SG: C2/m

---

Entry 6:
Compound: Hf3InSe
Source: Alexandria
Functional: PBE
Structure: relaxed

```
Hf3InSe
1.0
-2.383 4.099 -1.366
-4.112 -1.673 2.153
1.326 2.178 4.224
Hf Se In
3 1 1
direct
0.000 0.500 0.000
0.000 0.000 0.500
0.500 0.000 0.000
0.000 0.000 0.000
0.500 0.500 0.500
```

Summary:
SG: Pm-3m

---

Entry 7:
Compound: K3Te5S12
Source: Alexandria
Functional: PBE
Structure: relaxed

```
K3Te5S12
1.0
14.587 0.000 0.000
-4.862 13.752 0.000
-4.862 -6.876 11.910
K Te S
12 20 48
direct
0.750 0.375 0.125
0.875 0.750 0.125
0.375 0.750 0.625
0.250 0.125 0.375
0.875 0.125 0.250
0.375 0.625 0.250
0.625 0.375 0.750
0.125 0.875 0.750
0.750 0.875 0.625
0.625 0.250 0.375
0.125 0.250 0.875
0.250 0.625 0.875
0.125 0.375 0.250
0.000 0.500 0.000
0.000 0.000 0.000
0.375 0.250 0.125
0.500 0.000 0.500
0.500 0.500 0.000
0.125 0.750 0.375
0.750 0.125 0.875
0.750 0.625 0.375
0.375 0.125 0.750
0.625 0.875 0.250
0.500 0.500 0.500
0.500 0.000 0.000
0.000 0.000 0.500
0.250 0.375 0.625
0.250 0.875 0.125
0.000 0.500 0.500
0.875 0.250 0.625
0.625 0.750 0.875
0.875 0.625 0.750
0.698 0.115 0.021
0.323 0.521 0.406
0.979 0.385 0.302
0.521 0.198 0.115
0.582 0.698 0.677
0.979 0.594 0.177
0.323 0.802 0.418
0.094 0.918 0.115
0.594 0.979 0.677
0.698 0.582 0.177
0.802 0.479 0.385
0.823 0.906 0.021
0.115 0.698 0.521
0.385 0.406 0.082
0.082 0.906 0.385
0.418 0.115 0.594
0.082 0.177 0.198
0.479 0.677 0.094
0.823 0.918 0.302
0.115 0.418 0.094
0.385 0.979 0.802
0.594 0.615 0.418
0.906 0.823 0.521
0.802 0.323 0.918
0.406 0.385 0.582
0.094 0.177 0.479
0.198 0.677 0.082
0.177 0.082 0.698
0.615 0.021 0.198
0.885 0.582 0.906
0.521 0.323 0.906
0.582 0.885 0.406
0.918 0.823 0.802
0.918 0.094 0.615
0.885 0.302 0.479
0.177 0.094 0.979
0.615 0.594 0.918
0.406 0.021 0.323
0.302 0.418 0.823
0.198 0.521 0.615
0.906 0.082 0.885
0.677 0.198 0.582
0.479 0.802 0.885
0.021 0.406 0.823
0.418 0.302 0.323
0.021 0.615 0.698
0.677 0.479 0.594
0.302 0.885 0.979
```

Summary:
SG: Ia-3d

---

Entry 8:
Compound: Ce2Si2GeRu5
Source: Alexandria
Functional: PBE
Structure: relaxed

```
Ce2Si2GeRu5
1.0
-2.176 -2.384 0.483
6.966 -6.828 -2.331
2.713 -0.524 9.641
Ce Si Ge Ru
4 4 2 10
direct
0.000 0.674 0.174
0.000 0.326 0.826
0.000 0.174 0.326
0.000 0.826 0.674
0.000 0.125 0.625
0.000 0.875 0.375
0.000 0.625 0.875
0.000 0.375 0.125
0.000 0.000 0.000
0.000 0.500 0.500
0.500 0.208 0.067
0.500 0.792 0.933
0.500 0.067 0.792
0.500 0.708 0.433
0.500 0.933 0.208
0.500 0.292 0.567
0.500 0.567 0.708
0.500 0.433 0.292
0.500 0.500 0.000
0.500 0.000 0.500
```

Summary:
SG: P4/mbm

---

Entry 9:
Compound: BeAs3Os
Source: Alexandria
Functional: PBE
Structure: relaxed

```
BeAs3Os
1.0
-4.095 0.383 -1.413
-1.461 -1.353 3.866
-0.099 4.115 1.403
Be As Os
1 3 1
direct
0.000 0.000 0.000
0.000 0.500 0.000
0.000 0.000 0.500
0.500 0.000 0.000
0.500 0.500 0.500
```

Summary:
SG: Pm-3m
DFT formation energy (eV per atom): 1.040

---

Entry 10:
Compound: AlHg4
Source: Alexandria
Functional: PBE
Structure: relaxed

```
AlHg4
1.0
-2.041 2.041 8.105
2.041 -2.041 8.105
2.041 2.041 -8.105
Al Hg
1 4
direct
0.000 0.000 0.000
0.750 0.250 0.500
0.250 0.750 0.500
0.592 0.592 0.000
0.408 0.408 0.000
```

Summary:
SG: I4/mmm
DFT formation energy (eV per atom): 0.251

---

Entry 11:
Compound: RbTi2Cl8
Source: Alexandria
Functional: PBE
Structure: relaxed

```
RbTi2Cl8
1.0
-1.701 8.092 1.785
-7.383 0.232 2.395
-2.021 0.235 7.494
Rb Ti Cl
1 2 8
direct
0.000 0.000 0.000
0.691 0.796 0.796
0.309 0.204 0.204
0.226 0.373 0.895
0.774 0.105 0.627
0.413 0.835 0.835
0.587 0.165 0.165
0.226 0.895 0.373
0.774 0.627 0.105
0.815 0.626 0.626
0.185 0.374 0.374
```

Summary:
SG: C2/m

---

Entry 12:
Compound: TcNiP2Se
Source: Alexandria
Functional: PBE
Structure: relaxed

```
TcNiP2Se
1.0
7.169 0.000 -0.005
0.000 3.875 0.000
-3.301 0.000 6.110
Tc Ni P Se
2 2 4 2
direct
0.361 0.000 0.545
0.361 0.500 0.045
0.965 0.000 0.530
0.965 0.500 0.030
0.269 0.000 0.831
0.269 0.500 0.331
0.013 0.000 0.235
0.013 0.500 0.735
0.592 0.000 0.332
0.592 0.500 0.832
```

Summary:
SG: Cm

---

Entry 13:
Compound: AlAs
Source: Alexandria
Functional: PBE
Structure: relaxed

```
AlAs
1.0
-1.354 -3.137 1.331
2.759 1.687 1.730
-4.363 3.420 3.622
As Al
2 2
direct
0.000 0.000 0.000
0.000 0.000 0.500
0.333 0.667 0.250
0.667 0.333 0.750
```

Summary:
SG: P6_3/mmc
DFT formation energy (eV per atom): -0.046

---

Entry 14:
Compound: LaAgS
Source: Alexandria
Functional: PBE
Structure: relaxed

```
LaAgS
1.0
4.781 0.000 0.000
2.391 4.141 0.000
2.391 1.380 8.028
La S Ag
2 2 2
direct
0.591 0.591 0.228
0.409 0.409 0.772
0.288 0.288 0.136
0.712 0.712 0.864
0.832 0.832 0.505
0.168 0.168 0.495
```

Summary:
SG: R-3m

---

Entry 15:
Compound: Dy2ErReO8
Source: Alexandria
Functional: PBE
Structure: relaxed

```
Dy2ErReO8
1.0
-4.525 0.461 -2.171
-1.624 -3.919 2.721
-1.918 4.190 4.888
Dy Er Re O
2 1 1 8
direct
0.500 0.500 0.748
0.500 0.500 0.252
0.000 0.000 0.500
0.000 0.000 0.000
0.181 0.819 0.209
0.732 0.732 0.000
0.819 0.181 0.209
0.819 0.181 0.791
0.268 0.268 0.000
0.181 0.819 0.791
0.695 0.695 0.500
0.305 0.305 0.500
```

Summary:
SG: Cmmm

---

Entry 16:
Compound: NbTe2AuN
Source: Alexandria
Functional: PBE
Structure: relaxed

```
NbTe2AuN
1.0
-0.250 -5.396 -1.347
5.523 -0.400 0.577
-0.451 -0.901 3.693
Nb Te Au N
1 2 1 1
direct
0.500 0.500 0.500
0.000 0.500 0.000
0.500 0.000 0.000
0.000 0.000 0.000
0.000 0.000 0.500
```

Summary:
SG: P4/mmm

---

Entry 17:
Compound: UAlTcRu
Source: Alexandria
Functional: PBE
Structure: relaxed

```
UAlTcRu
1.0
3.464 0.000 0.000
0.000 4.279 0.000
0.000 0.000 4.434
U Al Tc Ru
1 1 1 1
direct
0.500 0.000 0.500
0.500 0.500 0.000
0.000 0.500 0.500
0.000 0.000 0.000
```

Summary:
SG: Pmmm
DFT formation energy (eV per atom): -0.458

---

Entry 18:
Compound: SrCa2Mg
Source: Alexandria
Functional: PBE
Structure: relaxed

```
SrCa2Mg
1.0
4.087 0.000 0.000
0.000 4.085 0.000
0.000 0.000 9.494
Sr Ca Mg
1 2 1
direct
0.500 0.500 0.712
0.000 0.000 0.018
0.500 0.500 0.289
0.000 0.000 0.482
```

Summary:
SG: P4mm
DFT formation energy (eV per atom): -0.022

---

Entry 19:
Compound: Tl2CSe
Source: Alexandria
Functional: PBE
Structure: relaxed

```
Tl2CSe
1.0
0.000 3.658 3.658
3.658 0.000 3.658
3.658 3.658 0.000
Tl C Se
2 1 1
direct
0.250 0.250 0.250
0.750 0.750 0.750
0.000 0.000 0.000
0.500 0.500 0.500
```

Summary:
SG: Fm-3m

---

Entry 20:
Compound: LaMg2Cr
Source: Alexandria
Functional: PBE
Structure: relaxed

```
LaMg2Cr
1.0
6.427 -0.006 -0.008
5.559 3.226 -0.008
1.992 0.535 4.641
Cr La Mg
1 1 2
direct
0.250 0.250 0.250
0.750 0.750 0.750
0.962 0.962 0.038
0.538 0.538 0.462
```

Summary:
SG: C2/m
DFT formation energy (eV per atom): 0.254

---

| no. | energy (Ry per atom) | magnetization (μB per cell) |
| --- | --- | --- |
| 1 | -0.7256 | 0.0 |
| 2 | -0.2779 | 3.4 |
| 3 | -0.3353 | 0.0 |
| 4 | -0.5687 | 4.4 |
| 5 | -0.3161 | 0.0 |
| 6 | -0.5223 | 0.0 |
| 7 | -0.2616 | 0.0 |
| 8 | -0.5853 | 1.0 |
| 9 | -0.3484 | 0.0 |
| 10 | -0.0543 | 0.0 |
| 11 | -0.3311 | 1.0 |
| 12 | -0.4665 | 0.0 |
| 13 | -0.3118 | 0.0 |
| 14 | -0.3826 | 0.0 |
| 15 | -0.6093 | 0.0 |
| 16 | -0.3261 | 3.6 |
| 17 | -0.6707 | 0.0 |
| 18 | -0.1354 | 0.0 |
| 19 | -0.2214 | 2.2 |
| 20 | -0.3073 | 2.6 |